DFT (PBE+U) results for a geometry-optimized Li2V3TeO8 structure.

a = 6.026 Å, b = 6.026 Å, c = 9.965 Å
α = 90.00°, β = 90.00°, γ = 120.00°
Fractional coordinates of all 28 atoms:
Li  0.000  0.000  0.000
Li  0.000  0.000  0.500
Li  0.333  0.667  0.412
Li  0.667  0.333  0.912
V  0.169  0.827  0.725
V  0.173  0.342  0.725
V  0.342  0.173  0.225
V  0.658  0.831  0.725
V  0.827  0.169  0.225
V  0.831  0.658  0.225
Te  0.333  0.667  0.002
Te  0.667  0.333  0.501
O  0.000  0.000  0.317
O  0.000  0.000  0.817
O  0.030  0.524  0.845
O  0.152  0.318  0.105
O  0.166  0.848  0.105
O  0.318  0.152  0.605
O  0.333  0.667  0.618
O  0.476  0.506  0.845
O  0.494  0.970  0.845
O  0.506  0.476  0.345
O  0.524  0.030  0.345
O  0.667  0.333  0.118
O  0.682  0.834  0.105
O  0.834  0.682  0.605
O  0.848  0.166  0.605
O  0.970  0.494  0.345

space-group type	No. 159
offset from the most stable computed form	0.000	eV/atom